## Sm2HgI (PBE-GGA)

Data for an optimized crystal structure of Sm2HgI.

Values from the calculation:
ΔE to the lowest computed polymorph = 0 meV/atom
density of states at the Fermi level = 0.86 states/eV per atom
space-group type = R3m
formation energy from raw total energies = -0.620 eV per atom

Unit cell a=9.368 b=9.368 c=9.368 alpha=24.27 beta=24.27 gamma=24.27
Sites, in units of the cell vectors:
Sm 0.000 0.000 0.000
Sm 0.172 0.172 0.172
Hg 0.586 0.586 0.586
I 0.419 0.419 0.419

## Sm2HgI (PBE-GGA)

Data for an optimized crystal structure of Sm2HgI.

Values from the calculation:
ΔE to the lowest computed polymorph = 15 meV/atom
density of states at the Fermi level = 0.83 states/eV per atom
space-group type = R-3m
formation energy from raw total energies = -0.605 eV per atom

Unit cell a=8.115 b=8.115 c=8.115 alpha=31.08 beta=31.08 gamma=31.08
Sites, in units of the cell vectors:
Sm 0.242 0.242 0.242
Sm 0.758 0.758 0.758
Hg 0.500 0.500 0.500
I 0.000 0.000 0.000

## Sm6HgI8 (PBE-GGA)

Data for an optimized crystal structure of Sm6HgI8.

Values from the calculation:
density of states at the Fermi level = 0.34 states/eV per atom
space-group type = R-3
formation energy from raw total energies = -1.041 eV per atom

Unit cell a=12.394 b=12.394 c=12.394 alpha=35.74 beta=35.74 gamma=35.74
Sites, in units of the cell vectors:
Sm 0.132 0.449 0.767
Sm 0.233 0.868 0.551
Sm 0.449 0.767 0.132
Sm 0.551 0.233 0.868
Sm 0.767 0.132 0.449
Sm 0.868 0.551 0.233
Hg 0.500 0.500 0.500
I 0.053 0.732 0.393
I 0.167 0.167 0.167
I 0.268 0.607 0.947
I 0.393 0.053 0.732
I 0.607 0.947 0.268
I 0.732 0.393 0.053
I 0.833 0.833 0.833
I 0.947 0.268 0.607

## SmHgI (PBE-GGA)

Data for an optimized crystal structure of SmHgI.

Values from the calculation:
ΔE to the lowest computed polymorph = 0 meV/atom
density of states at the Fermi level = 0.53 states/eV per atom
space-group type = C2/m
formation energy from raw total energies = -0.806 eV per atom

Unit cell a=4.386 b=4.386 c=12.778 alpha=91.19 beta=91.19 gamma=59.96
Sites, in units of the cell vectors:
Sm 0.008 0.008 0.193
Sm 0.992 0.992 0.807
Hg 0.336 0.336 0.058
Hg 0.664 0.664 0.942
I 0.319 0.319 0.651
I 0.681 0.681 0.349

## Sm3HgI3 (PBE-GGA)

Data for an optimized crystal structure of Sm3HgI3.

Values from the calculation:
density of states at the Fermi level = 0.56 states/eV per atom
space-group type = I4_132
formation energy from raw total energies = -0.954 eV per atom

Unit cell a=10.886 b=10.886 c=10.886 alpha=109.47 beta=109.47 gamma=109.47
Sites, in units of the cell vectors:
Sm 0.012 0.024 0.262
Sm 0.012 0.488 0.750
Sm 0.024 0.262 0.012
Sm 0.238 0.262 0.750
Sm 0.238 0.476 0.488
Sm 0.262 0.012 0.024
Sm 0.262 0.750 0.238
Sm 0.476 0.488 0.238
Sm 0.488 0.238 0.476
Sm 0.488 0.750 0.012
Sm 0.750 0.012 0.488
Sm 0.750 0.238 0.262
Hg 0.000 0.250 0.500
Hg 0.250 0.250 0.250
Hg 0.250 0.500 0.000
Hg 0.500 0.000 0.250
I 0.250 0.757 0.743
I 0.250 0.993 0.507
I 0.507 0.250 0.993
I 0.507 0.757 0.514
I 0.514 0.507 0.757
I 0.743 0.250 0.757
I 0.743 0.993 0.986
I 0.757 0.514 0.507
I 0.757 0.743 0.250
I 0.986 0.743 0.993
I 0.993 0.507 0.250
I 0.993 0.986 0.743

## Sm3HgI7 (PBE-GGA)

Data for an optimized crystal structure of Sm3HgI7.

Values from the calculation:
density of states at the Fermi level = 0.60 states/eV per atom
space-group type = P3m1
formation energy from raw total energies = -1.110 eV per atom

Unit cell a=8.657 b=8.657 c=7.298 alpha=90.00 beta=90.00 gamma=120.00
Sites, in units of the cell vectors:
Sm 0.168 0.336 0.000
Sm 0.168 0.832 0.000
Sm 0.664 0.832 0.000
Hg 0.000 0.000 0.273
I 0.329 0.165 0.748
I 0.333 0.667 0.733
I 0.503 0.007 0.248
I 0.503 0.497 0.248
I 0.835 0.165 0.748
I 0.835 0.671 0.748
I 0.993 0.497 0.248

## SnHg3I (PBE-GGA)

Data for an optimized crystal structure of SnHg3I.

Values from the calculation:
ΔE to the lowest computed polymorph = 0 meV/atom
density of states at the Fermi level = 0.25 states/eV per atom
space-group type = Pm-3m
formation energy from raw total energies = -0.058 eV per atom

Unit cell a=5.639 b=5.639 c=5.639 alpha=90.00 beta=90.00 gamma=90.00
Sites, in units of the cell vectors:
Sn 0.000 0.000 0.000
Hg 0.000 0.000 0.500
Hg 0.000 0.500 0.000
Hg 0.500 0.000 0.000
I 0.500 0.500 0.500

## Sn2Hg2I (PBE-GGA)

Data for an optimized crystal structure of Sn2Hg2I.

Values from the calculation:
ΔE to the lowest computed polymorph = 59 meV/atom
density of states at the Fermi level = 0.55 states/eV per atom
space-group type = I4/mmm
formation energy from raw total energies = 0.059 eV per atom

Unit cell a=8.041 b=8.041 c=8.041 alpha=147.15 beta=147.15 gamma=47.14
Sites, in units of the cell vectors:
Sn 0.105 0.105 0.000
Sn 0.895 0.895 0.000
Hg 0.250 0.750 0.500
Hg 0.750 0.250 0.500
I 0.500 0.500 0.000

## Sn3HgI6 (PBE-GGA)

Data for an optimized crystal structure of Sn3HgI6.

Values from the calculation:
density of states at the Fermi level = 0.00 states/eV per atom
space-group type = P2_1/m
formation energy from raw total energies = -0.428 eV per atom

Unit cell a=13.108 b=4.525 c=16.366 alpha=90.00 beta=106.63 gamma=90.00
Sites, in units of the cell vectors:
Sn 0.002 0.250 0.369
Sn 0.200 0.750 0.213
Sn 0.402 0.250 0.073
Sn 0.598 0.750 0.927
Sn 0.800 0.250 0.787
Sn 0.998 0.750 0.631
Hg 0.440 0.750 0.549
Hg 0.560 0.250 0.451
I 0.040 0.250 0.781
I 0.138 0.250 0.568
I 0.153 0.250 0.068
I 0.244 0.250 0.358
I 0.353 0.750 0.926
I 0.451 0.750 0.218
I 0.549 0.250 0.782
I 0.647 0.250 0.074
I 0.756 0.750 0.642
I 0.847 0.750 0.932
I 0.862 0.750 0.432
I 0.960 0.750 0.219

## SnHg2I2 (PBE-GGA)

Data for an optimized crystal structure of SnHg2I2.

Values from the calculation:
density of states at the Fermi level = 0.01 states/eV per atom
space-group type = P2/m
formation energy from raw total energies = -0.272 eV per atom

Unit cell a=9.031 b=4.512 c=9.793 alpha=90.00 beta=90.45 gamma=90.00
Sites, in units of the cell vectors:
Sn 0.000 0.000 0.000
Sn 0.500 0.000 0.500
Hg 0.167 0.000 0.499
Hg 0.333 0.000 0.999
Hg 0.667 0.000 0.001
Hg 0.833 0.000 0.501
I 0.001 0.500 0.226
I 0.500 0.500 0.274
I 0.500 0.500 0.726
I 0.999 0.500 0.774

## SnHgI4 (PBE-GGA)

Data for an optimized crystal structure of SnHgI4.

Values from the calculation:
ΔE to the lowest computed polymorph = 0 meV/atom
space-group type = P2_1/c
formation energy from raw total energies = -0.356 eV per atom

Unit cell a=7.876 b=4.498 c=16.461 alpha=90.00 beta=115.10 gamma=90.00
Sites, in units of the cell vectors:
Sn 0.000 0.000 0.000
Sn 0.000 0.500 0.500
Hg 0.500 0.000 0.500
Hg 0.500 0.500 0.000
I 0.055 0.000 0.375
I 0.055 0.500 0.875
I 0.451 0.092 0.118
I 0.451 0.408 0.618
I 0.549 0.592 0.382
I 0.549 0.908 0.882
I 0.945 0.000 0.625
I 0.945 0.500 0.125

## Sn2HgI2 (PBE-GGA)

Data for an optimized crystal structure of Sn2HgI2.

Values from the calculation:
ΔE to the lowest computed polymorph = 3 meV/atom
density of states at the Fermi level = 0.47 states/eV per atom
space-group type = I4/mmm
formation energy from raw total energies = -0.105 eV per atom

Unit cell a=6.483 b=6.483 c=6.483 alpha=120.60 beta=120.60 gamma=88.96
Sites, in units of the cell vectors:
Sn 0.178 0.178 0.000
Sn 0.822 0.822 0.000
Hg 0.500 0.500 0.000
I 0.250 0.750 0.500
I 0.750 0.250 0.500

## SnHg2I6 (PBE-GGA)

Data for an optimized crystal structure of SnHg2I6.

Values from the calculation:
ΔE to the lowest computed polymorph = 29 meV/atom
space-group type = P-1
formation energy from raw total energies = -0.314 eV per atom

Unit cell a=4.559 b=8.648 c=12.155 alpha=72.00 beta=79.68 gamma=74.83
Sites, in units of the cell vectors:
Sn 0.000 0.000 0.000
Hg 0.186 0.324 0.282
Hg 0.814 0.676 0.718
I 0.162 0.617 0.100
I 0.348 0.741 0.567
I 0.397 0.028 0.186
I 0.603 0.972 0.814
I 0.652 0.259 0.433
I 0.838 0.383 0.900

## Sn5Hg3I12 (PBE-GGA)

Data for an optimized crystal structure of Sn5Hg3I12.

Values from the calculation:
density of states at the Fermi level = 0.45 states/eV per atom
space-group type = Ia-3d
formation energy from raw total energies = -0.277 eV per atom

Unit cell a=17.472 b=17.472 c=17.472 alpha=109.47 beta=109.47 gamma=109.47
Sites, in units of the cell vectors:
Sn 0.000 0.000 0.000
Sn 0.000 0.000 0.500
Sn 0.000 0.500 0.000
Sn 0.000 0.500 0.500
Sn 0.125 0.750 0.875
Sn 0.125 0.875 0.250
Sn 0.250 0.125 0.875
Sn 0.250 0.625 0.375
Sn 0.375 0.250 0.625
Sn 0.375 0.625 0.750
Sn 0.500 0.000 0.000
Sn 0.500 0.000 0.500
Sn 0.500 0.500 0.000
Sn 0.500 0.500 0.500
Sn 0.625 0.375 0.250
Sn 0.625 0.750 0.375
Sn 0.750 0.375 0.625
Sn 0.750 0.875 0.125
Sn 0.875 0.125 0.750
Sn 0.875 0.250 0.125
Hg 0.125 0.250 0.375
Hg 0.125 0.375 0.750
Hg 0.250 0.375 0.125
Hg 0.250 0.875 0.625
Hg 0.375 0.125 0.250
Hg 0.375 0.750 0.125
Hg 0.625 0.250 0.875
Hg 0.625 0.875 0.750
Hg 0.750 0.125 0.375
Hg 0.750 0.625 0.875
Hg 0.875 0.625 0.250
Hg 0.875 0.750 0.625
I 0.010 0.192 0.102
I 0.010 0.319 0.909
I 0.090 0.692 0.681
I 0.090 0.898 0.409
I 0.091 0.602 0.410
I 0.091 0.990 0.681
I 0.102 0.010 0.192
I 0.102 0.591 0.910
I 0.181 0.192 0.590
I 0.181 0.490 0.591
I 0.192 0.102 0.010
I 0.192 0.590 0.181
I 0.308 0.319 0.910
I 0.308 0.490 0.398
I 0.319 0.909 0.010
I 0.319 0.910 0.308
I 0.398 0.308 0.490
I 0.398 0.590 0.909
I 0.409 0.090 0.898
I 0.409 0.819 0.510
I 0.410 0.091 0.602
I 0.410 0.819 0.808
I 0.490 0.398 0.308
I 0.490 0.591 0.181
I 0.510 0.409 0.819
I 0.510 0.602 0.692
I 0.590 0.181 0.192
I 0.590 0.909 0.398
I 0.591 0.181 0.490
I 0.591 0.910 0.102
I 0.602 0.410 0.091
I 0.602 0.692 0.510
I 0.681 0.090 0.692
I 0.681 0.091 0.990
I 0.692 0.510 0.602
I 0.692 0.681 0.090
I 0.808 0.410 0.819
I 0.808 0.898 0.990
I 0.819 0.510 0.409
I 0.819 0.808 0.410
I 0.898 0.409 0.090
I 0.898 0.990 0.808
I 0.909 0.010 0.319
I 0.909 0.398 0.590
I 0.910 0.102 0.591
I 0.910 0.308 0.319
I 0.990 0.681 0.091
I 0.990 0.808 0.898

## Sn2Hg2I (PBE-GGA)

Data for an optimized crystal structure of Sn2Hg2I.

Values from the calculation:
ΔE to the lowest computed polymorph = 87 meV/atom
density of states at the Fermi level = 0.53 states/eV per atom
space-group type = P4/mbm
formation energy from raw total energies = 0.086 eV per atom

Unit cell a=8.842 b=8.842 c=3.803 alpha=90.00 beta=90.00 gamma=90.00
Sites, in units of the cell vectors:
Sn 0.128 0.372 0.000
Sn 0.372 0.872 0.000
Sn 0.628 0.128 0.000
Sn 0.872 0.628 0.000
Hg 0.166 0.666 0.500
Hg 0.334 0.166 0.500
Hg 0.666 0.834 0.500
Hg 0.834 0.334 0.500
I 0.000 0.000 0.500
I 0.500 0.500 0.500

## Sn5Hg12I3 (PBE-GGA)

Data for an optimized crystal structure of Sn5Hg12I3.

Values from the calculation:
density of states at the Fermi level = 0.32 states/eV per atom
space-group type = Ia-3d
formation energy from raw total energies = 0.056 eV per atom

Unit cell a=15.660 b=15.660 c=15.660 alpha=109.47 beta=109.47 gamma=109.47
Sites, in units of the cell vectors:
Sn 0.000 0.000 0.000
Sn 0.000 0.000 0.500
Sn 0.000 0.500 0.000
Sn 0.000 0.500 0.500
Sn 0.125 0.750 0.875
Sn 0.125 0.875 0.250
Sn 0.250 0.125 0.875
Sn 0.250 0.625 0.375
Sn 0.375 0.250 0.625
Sn 0.375 0.625 0.750
Sn 0.500 0.000 0.000
Sn 0.500 0.000 0.500
Sn 0.500 0.500 0.000
Sn 0.500 0.500 0.500
Sn 0.625 0.375 0.250
Sn 0.625 0.750 0.375
Sn 0.750 0.375 0.625
Sn 0.750 0.875 0.125
Sn 0.875 0.125 0.750
Sn 0.875 0.250 0.125
Hg 0.023 0.206 0.086
Hg 0.023 0.318 0.938
Hg 0.062 0.586 0.380
Hg 0.062 0.977 0.682
Hg 0.086 0.023 0.206
Hg 0.086 0.562 0.880
Hg 0.120 0.706 0.682
Hg 0.120 0.914 0.438
Hg 0.182 0.206 0.620
Hg 0.182 0.477 0.562
Hg 0.206 0.086 0.023
Hg 0.206 0.620 0.182
Hg 0.294 0.318 0.880
Hg 0.294 0.477 0.414
Hg 0.318 0.880 0.294
Hg 0.318 0.938 0.023
Hg 0.380 0.062 0.586
Hg 0.380 0.818 0.794
Hg 0.414 0.294 0.477
Hg 0.414 0.620 0.938
Hg 0.438 0.120 0.914
Hg 0.438 0.818 0.523
Hg 0.477 0.414 0.294
Hg 0.477 0.562 0.182
Hg 0.523 0.438 0.818
Hg 0.523 0.586 0.706
Hg 0.562 0.182 0.477
Hg 0.562 0.880 0.086
Hg 0.586 0.380 0.062
Hg 0.586 0.706 0.523
Hg 0.620 0.182 0.206
Hg 0.620 0.938 0.414
Hg 0.682 0.062 0.977
Hg 0.682 0.120 0.706
Hg 0.706 0.523 0.586
Hg 0.706 0.682 0.120
Hg 0.794 0.380 0.818
Hg 0.794 0.914 0.977
Hg 0.818 0.523 0.438
Hg 0.818 0.794 0.380
Hg 0.880 0.086 0.562
Hg 0.880 0.294 0.318
Hg 0.914 0.438 0.120
Hg 0.914 0.977 0.794
Hg 0.938 0.023 0.318
Hg 0.938 0.414 0.620
Hg 0.977 0.682 0.062
Hg 0.977 0.794 0.914
I 0.125 0.250 0.375
I 0.125 0.375 0.750
I 0.250 0.375 0.125
I 0.250 0.875 0.625
I 0.375 0.125 0.250
I 0.375 0.750 0.125
I 0.625 0.250 0.875
I 0.625 0.875 0.750
I 0.750 0.125 0.375
I 0.750 0.625 0.875
I 0.875 0.625 0.250
I 0.875 0.750 0.625

Number 1: total magnetic moment 0.00 μB per cell, calculated density 8.541 Mg/m³, final energy -3.442 eV/atom. Number 2: total magnetic moment 0.00 μB per cell, calculated density 8.254 Mg/m³, final energy -3.427 eV/atom. Number 3: total magnetic moment 0.00 μB per cell, calculated density 6.056 Mg/m³, final energy -3.776 eV/atom. Number 4: total magnetic moment 0.00 μB per cell, calculated density 7.460 Mg/m³, final energy -2.996 eV/atom. Number 5: total magnetic moment 0.00 μB per cell, calculated density 6.905 Mg/m³, final energy -3.684 eV/atom. Number 6: total magnetic moment 0.00 μB per cell, calculated density 5.399 Mg/m³, final energy -3.411 eV/atom. Number 7: total magnetic moment 0.00 μB per cell, calculated density 7.847 Mg/m³, final energy -1.349 eV/atom. Number 8: total magnetic moment 0.00 μB per cell, calculated density 8.342 Mg/m³, final energy -1.973 eV/atom. Number 9: total magnetic moment 0.00 μB per cell, calculated density 4.707 Mg/m³, final energy -2.589 eV/atom. Number 10: total magnetic moment 0.00 μB per cell, calculated density 6.439 Mg/m³, final energy -1.813 eV/atom. Number 11: total magnetic moment 0.00 μB per cell, calculated density 5.201 Mg/m³, final energy -2.106 eV/atom. Number 12: total magnetic moment 0.00 μB per cell, calculated density 6.017 Mg/m³, final energy -2.387 eV/atom. Number 13: total magnetic moment 0.00 μB per cell, calculated density 4.865 Mg/m³, final energy -1.859 eV/atom. Number 14: total magnetic moment 0.00 μB per cell, calculated density 4.398 Mg/m³, final energy -2.253 eV/atom. Number 15: total magnetic moment 0.00 μB per cell, calculated density 8.550 Mg/m³, final energy -1.945 eV/atom. Number 16: total magnetic moment 0.00 μB per cell, calculated density 7.597 Mg/m³, final energy -1.358 eV/atom.